Record 1
# PBE-GGA Be2SCl, relaxed
data_Be2SCl
_symmetry_space_group_name_H-M 'F m -3 m'
_symmetry_Int_Tables_number 225
_symmetry_space_group_name_Hall '-F 4 2 3'
_cell_length_a 5.950
_cell_length_b 5.950
_cell_length_c 5.950
_cell_angle_alpha 90.00
_cell_angle_beta 90.00
_cell_angle_gamma 90.00
loop_
_atom_site_label
_atom_site_type_symbol
_atom_site_fract_x
_atom_site_fract_y
_atom_site_fract_z
Be1 Be 0.250 0.250 0.250
S1 S 0.000 0.000 0.000
Cl1 Cl 0.000 0.000 0.500
# Polymorph energy (0 for the lowest one): 284 kJ/mol of formula units
# Size of the total moment: 0.0 μB/cell
# DOS(E_F): 0.91 states/eV/f.u.



Record 2
# PBE-GGA Rb2MgHg7, relaxed
data_Rb2MgHg7
_symmetry_space_group_name_H-M 'P -4 m 2'
_symmetry_Int_Tables_number 115
_symmetry_space_group_name_Hall 'P -4 -2'
_cell_length_a 4.978
_cell_length_b 4.978
_cell_length_c 13.117
_cell_angle_alpha 90.00
_cell_angle_beta 90.00
_cell_angle_gamma 90.00
loop_
_atom_site_label
_atom_site_type_symbol
_atom_site_fract_x
_atom_site_fract_y
_atom_site_fract_z
Rb1 Rb 0.000 0.500 0.247
Mg1 Mg 0.000 0.000 0.500
Hg1 Hg 0.000 0.000 0.000
Hg2 Hg 0.000 0.500 0.628
Hg3 Hg 0.000 0.500 0.859
Hg4 Hg 0.500 0.500 0.000
Hg5 Hg 0.500 0.500 0.500
# ΔH_f (0 K): -0.18 eV per atom
# Size of the total moment: 0.0 μB/cell
# DOS(E_F): 2.79 states/eV/f.u.



Question: The lowest DOS(E_F) belongs to which entry?
Answer: Be2SCl



Question: Which value of size of the total moment does entry 1 give?
Answer: 0.0 μB/cell



Please write out number 1 again, unchanged.
# PBE-GGA Be2SCl, relaxed
data_Be2SCl
_symmetry_space_group_name_H-M 'F m -3 m'
_symmetry_Int_Tables_number 225
_symmetry_space_group_name_Hall '-F 4 2 3'
_cell_length_a 5.950
_cell_length_b 5.950
_cell_length_c 5.950
_cell_angle_alpha 90.00
_cell_angle_beta 90.00
_cell_angle_gamma 90.00
loop_
_atom_site_label
_atom_site_type_symbol
_atom_site_fract_x
_atom_site_fract_y
_atom_site_fract_z
Be1 Be 0.250 0.250 0.250
S1 S 0.000 0.000 0.000
Cl1 Cl 0.000 0.000 0.500
# Polymorph energy (0 for the lowest one): 284 kJ/mol of formula units
# Size of the total moment: 0.0 μB/cell
# DOS(E_F): 0.91 states/eV/f.u.